# 1
Computed, not measured: a relaxed structure of NbHgBr2 at the GGA-PBEsol level of DFT.

Summary:
calculated density: 7.46 g/cm³
uncorrected formation energy: -445 meV per atom
DOS at the Fermi energy: 1.17 states/eV/f.u.

Structure (POSCAR):
```
NbHgBr2
1.0
3.2991 0.0000 0.0000
1.6496 2.8571 0.0000
1.6496 0.9524 10.7079
Br Hg Nb
2 1 1
direct
0.1089 0.1089 0.6734
0.8911 0.8911 0.3266
0.0000 0.0000 0.0000
0.5000 0.5000 0.5000
```


# 2
Computed, not measured: a relaxed structure of NbHgBr2 at the GGA-PBEsol level of DFT.

Summary:
calculated density: 7.20 g/cm³
uncorrected formation energy: 55 meV per atom
DOS at the Fermi energy: 2.90 states/eV/f.u.

Structure (POSCAR):
```
NbHgBr2
1.0
3.3452 0.0000 0.0000
1.6726 2.8970 0.0000
1.6726 0.9657 10.7822
Br Nb Hg
2 1 1
direct
0.9256 0.9256 0.2233
0.0744 0.0744 0.7767
0.0000 0.0000 0.0000
0.5000 0.5000 0.5000
```


# 3
Computed, not measured: a relaxed structure of Ni3HgBr at the GGA-PBEsol level of DFT.

Summary:
calculated density: 7.20 g/cm³
uncorrected formation energy: 1356 meV per atom
DOS at the Fermi energy: 14.48 states/eV/f.u.

Structure (POSCAR):
```
Ni3HgBr
1.0
-0.0426 3.7771 -2.8343
-2.2157 -2.5190 -3.3236
-4.1701 1.2999 1.7949
Ni Hg Br
3 1 1
direct
0.5000 0.0000 0.0000
0.0000 0.5000 0.0000
0.0000 0.0000 0.5000
0.0000 0.0000 0.0000
0.5000 0.5000 0.5000
```


# 4
Computed, not measured: a relaxed structure of Ni3HgBr at the GGA-PBEsol level of DFT.

Summary:
calculated density: 9.33 g/cm³
uncorrected formation energy: 742 meV per atom
DOS at the Fermi energy: 3.88 states/eV/f.u.

Structure (POSCAR):
```
Ni3HgBr
1.0
4.3318 0.0000 0.0000
0.0000 4.3318 0.0000
0.0000 0.0000 4.3318
Br Ni Hg
1 3 1
direct
0.0000 0.0000 0.0000
0.5000 0.0000 0.0000
0.0000 0.5000 0.0000
0.0000 0.0000 0.5000
0.5000 0.5000 0.5000
```


# 5
Computed, not measured: a relaxed structure of Ni2HgBr at the GGA-PBEsol level of DFT.

Summary:
calculated density: 10.20 g/cm³
uncorrected formation energy: 753 meV per atom
DOS at the Fermi energy: 6.97 states/eV/f.u.

Structure (POSCAR):
```
Ni2HgBr
1.0
4.5075 0.0000 0.0000
2.2537 3.9036 0.0000
2.2537 1.3012 3.6803
Ni Hg Br
2 1 1
direct
0.0000 0.0000 0.0000
0.7500 0.7500 0.7500
0.2500 0.2500 0.2500
0.5000 0.5000 0.5000
```


# 6
Computed, not measured: a relaxed structure of Ni2HgBr at the GGA-PBEsol level of DFT.

Summary:
calculated density: 9.50 g/cm³
uncorrected formation energy: 328 meV per atom
DOS at the Fermi energy: 3.41 states/eV/f.u.

Structure (POSCAR):
```
Ni2HgBr
1.0
-1.0112 -2.6678 1.0375
-0.7579 -1.2547 -3.9651
5.8999 -0.0634 1.1458
Hg Br Ni
1 1 2
direct
0.2139 0.7139 0.4277
0.4407 0.4407 0.8814
0.0838 0.0838 0.1675
0.7616 0.2616 0.5233
```


# 7
Computed, not measured: a relaxed structure of Ni2HgBr at the GGA-PBEsol level of DFT.

Summary:
calculated density: 9.69 g/cm³
uncorrected formation energy: 525 meV per atom
DOS at the Fermi energy: 4.35 states/eV/f.u.

Structure (POSCAR):
```
Ni2HgBr
1.0
-0.1608 -0.6711 3.0618
3.9473 -0.0682 0.1923
0.0353 5.3669 1.1782
Ni Br Hg
2 1 1
direct
0.0000 0.0000 0.0000
0.5000 0.0000 0.5000
0.5000 0.5000 0.0000
0.0000 0.5000 0.5000
```


# 8
Computed, not measured: a relaxed structure of Ni2HgBr at the GGA-PBEsol level of DFT.

Summary:
calculated density: 10.82 g/cm³
uncorrected formation energy: 461 meV per atom
DOS at the Fermi energy: 3.28 states/eV/f.u.

Structure (POSCAR):
```
Ni2HgBr
1.0
3.0438 0.4329 0.5876
-0.7331 4.3160 0.5896
-0.7331 -0.7158 4.2969
Br Hg Ni
1 1 2
direct
0.5000 0.5000 0.5000
0.5000 0.0000 0.0000
0.0000 0.0000 0.5000
0.0000 0.5000 0.0000
```


# 9
Computed, not measured: a relaxed structure of HgBrO4 at the GGA-PBEsol level of DFT.

Summary:
calculated density: 6.48 g/cm³
uncorrected formation energy: 182 meV per atom
DOS at the Fermi energy: 2.93 states/eV/f.u.

Structure (POSCAR):
```
HgBrO4
1.0
-2.5841 -2.0383 -3.7693
-4.5195 -2.4471 4.4218
-5.5989 8.7380 -0.8868
O Hg Br
16 4 4
direct
0.8397 0.2500 0.8799
0.6760 0.4460 0.1022
0.1991 0.2500 0.1309
0.1603 0.7500 0.1201
0.8397 0.7500 0.6201
0.6760 0.5540 0.3978
0.6760 0.0540 0.1022
0.1991 0.7500 0.3691
0.1603 0.2500 0.3799
0.8009 0.7500 0.8691
0.3240 0.5540 0.8978
0.6760 0.9460 0.3978
0.3240 0.0540 0.6022
0.3240 0.9460 0.8978
0.8009 0.2500 0.6309
0.3240 0.4460 0.6022
0.8253 0.5000 0.7500
0.1747 0.0000 0.2500
0.8253 0.0000 0.7500
0.1747 0.5000 0.2500
0.4438 0.2500 0.5257
0.5562 0.7500 0.4743
0.5562 0.2500 0.0257
0.4438 0.7500 0.9743
```


# 10
Computed, not measured: a relaxed structure of HgBrO3 at the GGA-PBEsol level of DFT.

Summary:
calculated density: 6.30 g/cm³
uncorrected formation energy: 35 meV per atom
DOS at the Fermi energy: 0.00 states/eV/f.u.

Structure (POSCAR):
```
HgBrO3
1.0
-3.9981 1.6853 1.4598
-3.7789 -7.3196 -1.8997
4.9874 -1.4410 8.1454
Hg O Br
4 12 4
direct
0.0858 0.9899 0.1324
0.0467 0.4899 0.1324
0.9142 0.0101 0.8676
0.9533 0.5101 0.8676
0.9733 0.5356 0.6513
0.6665 0.7961 0.1777
0.8876 0.1674 0.3626
0.4750 0.6674 0.3626
0.0267 0.4644 0.3487
0.5250 0.3326 0.6374
0.5112 0.2961 0.1777
0.3221 0.9644 0.3487
0.6779 0.0356 0.6513
0.4888 0.7039 0.8223
0.1124 0.8326 0.6374
0.3335 0.2039 0.8223
0.2732 0.6582 0.6481
0.7268 0.3418 0.3519
0.6251 0.8418 0.3519
0.3749 0.1582 0.6481
```


# 11
Computed, not measured: a relaxed structure of Hg5Br2O4 at the GGA-PBEsol level of DFT.

Summary:
calculated density: 9.45 g/cm³
uncorrected formation energy: -343 meV per atom
DOS at the Fermi energy: 1.60 states/eV/f.u.

Structure (POSCAR):
```
Hg5Br2O4
1.0
6.1726 0.0000 0.0000
3.0863 8.3591 -0.0606
3.0863 0.0838 8.3589
Br Hg O
4 10 8
direct
0.6184 0.1073 0.1073
0.8329 0.3927 0.3927
0.1671 0.6073 0.6073
0.3816 0.8927 0.8927
0.6634 0.5866 0.0866
0.3537 0.3584 0.3584
0.6463 0.6416 0.6416
0.9295 0.8584 0.8584
0.0000 0.7500 0.2500
0.6634 0.0866 0.5866
0.3366 0.9134 0.4134
0.0000 0.2500 0.7500
0.3366 0.4134 0.9134
0.0705 0.1416 0.1416
0.3437 0.5304 0.1754
0.9506 0.6754 0.0304
0.0494 0.3246 0.9696
0.6563 0.8246 0.4696
0.0494 0.9696 0.3246
0.3437 0.1754 0.5304
0.9506 0.0304 0.6754
0.6563 0.4696 0.8246
```


# 12
Computed, not measured: a relaxed structure of HgBr3O at the GGA-PBEsol level of DFT.

Summary:
calculated density: 7.21 g/cm³
uncorrected formation energy: 365 meV per atom
DOS at the Fermi energy: 2.49 states/eV/f.u.

Structure (POSCAR):
```
HgBr3O
1.0
4.7185 0.0000 0.0000
0.0000 4.7185 0.0000
0.0000 0.0000 4.7185
O Br Hg
1 3 1
direct
0.0000 0.0000 0.0000
0.5000 0.0000 0.0000
0.0000 0.5000 0.0000
0.0000 0.0000 0.5000
0.5000 0.5000 0.5000
```